A plane-wave DFT calculation with PBE was carried out for Cu2IrW after structural relaxation.

a = 4.6363 Å, b = 4.6363 Å, c = 4.6110 Å
α = 79.50°, β = 79.50°, γ = 34.71°
Fractional positions:
Cu (0.0037, 0.0037, 0.9772)
Cu (0.7506, 0.7506, 0.7733)
Ir (0.4964, 0.4964, 0.4817)
W (0.2493, 0.2493, 0.2678)

Results
The calculation puts the formation energy from the elements at 0.461 eV/f.u. Its relative energy among the computed polymorphs is 0.055 eV per atom.